[1]
Entry from Alexandria: HoTmBeAu after structural relaxation (GGA-PBE).

```
data_HoTmBeAu
_chemical_formula_sum 'Ho4 Tm4 Be4 Au4'
_cell_length_a 6.993
_cell_length_b 6.993
_cell_length_c 6.993
_cell_angle_alpha 90.00
_cell_angle_beta 90.00
_cell_angle_gamma 90.00
_symmetry_space_group_name_H-M 'F -4 3 m'
_symmetry_Int_Tables_number 216
_symmetry_space_group_name_Hall 'F -4 2 3'
loop_
_atom_site_label
_atom_site_fract_x
_atom_site_fract_y
_atom_site_fract_z
Ho1 0.000 0.000 0.000
Tm1 0.000 0.000 0.500
Be1 0.250 0.250 0.250
Au1 0.250 0.250 0.750
```

Values from the calculation:
final energy: -69.94 eV/cell
ΔH_f (0 K): -0.36 eV/atom
total moment: 0.00 μB per formula unit

***

[2]
Entry from Alexandria: Na3Ge2Pd after structural relaxation (GGA-PBE).

```
data_Na3Ge2Pd
_chemical_formula_sum 'Na12 Ge8 Pd4'
_cell_length_a 9.331
_cell_length_b 10.366
_cell_length_c 5.527
_cell_angle_alpha 90.00
_cell_angle_beta 90.00
_cell_angle_gamma 90.00
_symmetry_space_group_name_H-M 'C m c m'
_symmetry_Int_Tables_number 63
_symmetry_space_group_name_Hall '-C 2c 2'
loop_
_atom_site_label
_atom_site_fract_x
_atom_site_fract_y
_atom_site_fract_z
Na1 0.000 0.104 0.250
Na2 0.167 0.245 0.750
Ge1 0.214 0.500 0.000
Pd1 0.000 0.419 0.250
```

Values from the calculation:
final energy: -77.19 eV/cell
ΔH_f (0 K): -0.15 eV/atom
total moment: 0.00 μB per formula unit

***

[3]
Entry from Alexandria: TlSb2AuS after structural relaxation (GGA-PBE).

```
data_TlSb2AuS
_chemical_formula_sum 'Tl1 Sb2 Au1 S1'
_cell_length_a 5.158
_cell_length_b 5.158
_cell_length_c 5.762
_cell_angle_alpha 90.00
_cell_angle_beta 90.00
_cell_angle_gamma 90.00
_symmetry_space_group_name_H-M 'P 4/m m m'
_symmetry_Int_Tables_number 123
_symmetry_space_group_name_Hall '-P 4 2'
loop_
_atom_site_label
_atom_site_fract_x
_atom_site_fract_y
_atom_site_fract_z
Tl1 0.000 0.000 0.000
Sb1 0.000 0.500 0.500
Au1 0.500 0.500 0.000
S1 0.000 0.000 0.500
```

Values from the calculation:
final energy: -15.51 eV/cell
uncorrected formation energy: 0.501 eV per atom
total moment: 0.00 μB per formula unit

***

[4]
Entry from Alexandria: KSrAcPb after structural relaxation (GGA-PBE).

```
data_KSrAcPb
_chemical_formula_sum 'K4 Sr4 Ac4 Pb4'
_cell_length_a 8.607
_cell_length_b 8.607
_cell_length_c 8.607
_cell_angle_alpha 90.00
_cell_angle_beta 90.00
_cell_angle_gamma 90.00
_symmetry_space_group_name_H-M 'F -4 3 m'
_symmetry_Int_Tables_number 216
_symmetry_space_group_name_Hall 'F -4 2 3'
loop_
_atom_site_label
_atom_site_fract_x
_atom_site_fract_y
_atom_site_fract_z
K1 0.000 0.000 0.000
Sr1 0.250 0.250 0.250
Ac1 0.250 0.250 0.750
Pb1 0.000 0.000 0.500
```

Values from the calculation:
final energy: -42.94 eV/cell
ΔH_f (0 K): -0.03 eV/atom
total moment: 0.06 μB per formula unit

***

[5]
Entry from Alexandria: Cs3Li2PmCl8 after structural relaxation (GGA-PBE).

```
data_Cs3Li2PmCl8
_chemical_formula_sum 'Cs3 Li2 Pm1 Cl8'
_cell_length_a 7.5576
_cell_length_b 7.5576
_cell_length_c 9.8279
_cell_angle_alpha 90.00
_cell_angle_beta 90.00
_cell_angle_gamma 120.00
_symmetry_space_group_name_H-M 'P -3 m 1'
_symmetry_Int_Tables_number 164
_symmetry_space_group_name_Hall '-P 3 2"'
loop_
_atom_site_label
_atom_site_fract_x
_atom_site_fract_y
_atom_site_fract_z
Cs1 0.0000 0.0000 0.0000
Cs2 0.3333 0.6667 0.6649
Li1 0.3333 0.6667 0.2207
Pm1 0.0000 0.0000 0.5000
Cl1 0.1673 0.3346 0.3368
Cl2 0.3333 0.6667 0.9949
```

Values from the calculation:
final energy: -54.09 eV/cell
uncorrected formation energy: -2.013 eV per atom
total moment: 0.00 μB per formula unit

***

[6]
Entry from Alexandria: MgTaSbCl2 after structural relaxation (GGA-PBE).

```
data_MgTaSbCl2
_chemical_formula_sum 'Mg1 Ta1 Sb1 Cl2'
_cell_length_a 5.281
_cell_length_b 5.281
_cell_length_c 5.668
_cell_angle_alpha 90.00
_cell_angle_beta 90.00
_cell_angle_gamma 90.00
_symmetry_space_group_name_H-M 'P 4/m m m'
_symmetry_Int_Tables_number 123
_symmetry_space_group_name_Hall '-P 4 2'
loop_
_atom_site_label
_atom_site_fract_x
_atom_site_fract_y
_atom_site_fract_z
Mg1 0.000 0.000 0.000
Ta1 0.500 0.500 0.000
Sb1 0.500 0.500 0.500
Cl1 0.000 0.500 0.500
```

Values from the calculation:
final energy: -17.85 eV/cell
uncorrected formation energy: 0.683 eV per atom
total moment: 3.31 μB per formula unit